Record 1
VASP calculation (PBE) on a geometry-optimized InCo2Re structure.

Cell lengths 2.8438, 2.8438, 7.0159 Å; angles 90.00, 90.00, 90.00 degrees
Closest atoms and distances in Å follow each position.
Sites, in units of the cell vectors:
Co 0.0000 0.0000 0.0103  4 Co 2.47, 4 Re 2.52
Co 0.5000 0.5000 0.2155  4 Co 2.47, 4 In 2.74
In 0.0000 0.0000 0.4801  4 Co 2.74, 4 In 2.84, 4 Re 2.98
Re 0.5000 0.5000 0.7942  4 Co 2.52

Output
The calculation puts the total energy at -7.040 eV per atom.

Record 2
VASP calculation (PBE) on a geometry-optimized In2CoRe structure.

Cell lengths 5.1426, 5.1426, 5.1426 Å; angles 134.38, 134.38, 66.50 degrees
Closest atoms and distances in Å follow each position.
Sites, in units of the cell vectors:
Re 0.5000 0.5000 0.0000  8 In 2.82-2.93, 4 Co 2.93
In 0.2500 0.7500 0.5000  4 Co 2.82, 4 In 2.93, 4 Re 2.93
In 0.0000 0.0000 0.0000  4 Re 2.82, 4 In 2.93, 4 Co 2.93
Co 0.7500 0.2500 0.5000  8 In 2.82-2.93, 4 Re 2.93

Output
The energy above the most stable polymorph in this dataset comes out at 305 meV per atom.

Record 3
VASP calculation (PBE) on a geometry-optimized InCo2Re structure.

Cell lengths 2.7611, 2.7611, 7.2685 Å; angles 90.00, 90.00, 90.00 degrees
Closest atoms and distances in Å follow each position.
Sites, in units of the cell vectors:
Co 0.0000 0.0000 0.9796  4 Re 2.57, 4 Co 2.76, 4 In 2.77
Co 0.0000 0.0000 0.5204  4 Re 2.57, 4 Co 2.76, 4 In 2.77
In 0.5000 0.5000 0.2500  4 In 2.76, 8 Co 2.77
Re 0.5000 0.5000 0.7500  8 Co 2.57, 4 Re 2.76

Output
The calculation puts the total energy at -7.226 eV per atom.

Record 4
VASP calculation (PBE) on a geometry-optimized In2CoRe structure.

Cell lengths 3.2805, 3.0622, 6.5478 Å; angles 90.00, 90.00, 90.00 degrees
Closest atoms and distances in Å follow each position.
Sites, in units of the cell vectors:
Re 0.5000 0.5000 0.2500  8 In 2.84, 2 Re 3.06
In 0.0000 0.0000 0.9832  4 Co 2.71, 4 Re 2.84
Co 0.5000 0.5000 0.7500  8 In 2.71
In 0.0000 0.0000 0.5168  4 Co 2.71, 4 Re 2.84

Output
The energy above the most stable polymorph in this dataset comes out at 216 meV per atom.

Record 5
VASP calculation (PBE) on a geometry-optimized In4CoRe structure.

Cell lengths 5.5818, 5.5818, 5.5818 Å; angles 60.00, 60.00, 60.00 degrees
Closest atoms and distances in Å follow each position.
Sites, in units of the cell vectors:
Co 0.0000 0.0000 0.0000  12 In 3.27, 4 Re 3.42
In 0.3749 0.8753 0.3749  6 In 2.79
In 0.3749 0.3749 0.3749  6 In 2.79
Re 0.7500 0.7500 0.7500  12 In 3.27, 4 Co 3.42
In 0.8753 0.3749 0.3749  6 In 2.79
In 0.3749 0.3749 0.8753  6 In 2.79

Output
The calculation puts the total energy at -3.928 eV per atom.

Record 6
VASP calculation (PBE) on a geometry-optimized InCo2Re structure.

Cell lengths 4.2891, 4.2891, 3.0696 Å; angles 90.00, 90.00, 90.00 degrees
Closest atoms and distances in Å follow each position.
Sites, in units of the cell vectors:
In 0.5000 0.0000 0.5000  8 Co 2.64
Co 0.0000 0.0000 0.0000  4 In 2.64, 4 Re 2.64
Co 0.5000 0.5000 0.0000  4 In 2.64, 4 Re 2.64
Re 0.0000 0.5000 0.5000  8 Co 2.64

Output
The calculation puts the total energy at -7.037 eV per atom.

Record 7
VASP calculation (PBE) on a geometry-optimized InCo2Re structure.

Cell lengths 4.3071, 4.3071, 4.3071 Å; angles 60.00, 60.00, 60.00 degrees
Closest atoms and distances in Å follow each position.
Sites, in units of the cell vectors:
Co 0.0000 0.0000 0.0000  4 Re 2.64, 4 Co 2.64
Co 0.2500 0.2500 0.2500  4 In 2.64, 4 Co 2.64
In 0.5000 0.5000 0.5000  4 Re 2.64, 4 Co 2.64
Re 0.7500 0.7500 0.7500  4 In 2.64, 4 Co 2.64

Output
The calculation puts the total energy at -6.796 eV per atom.

Record 8
VASP calculation (PBE) on a geometry-optimized In2CoRe structure.

Cell lengths 7.2541, 7.2541, 5.8358 Å; angles 51.57, 51.57, 90.00 degrees
Closest atoms and distances in Å follow each position.
Sites, in units of the cell vectors:
Re 0.0000 0.0000 0.0000  2 Co 2.78, 4 In 2.79
Re 0.7500 0.2500 0.5000  2 Co 2.78, 4 In 2.79
In 0.8750 0.8487 0.7500  2 Co 2.53, 2 Re 2.79, 2 In 2.81
Co 0.2500 0.7500 0.5000  4 In 2.53, 2 Re 2.78
In 0.3750 0.4013 0.7500  2 Co 2.53, 2 Re 2.79, 2 In 2.81
In 0.5987 0.1250 0.2500  2 Co 2.53, 2 Re 2.79, 2 In 2.81
Co 0.5000 0.5000 0.0000  4 In 2.53, 2 Re 2.78
In 0.1513 0.6250 0.2500  2 Co 2.53, 2 Re 2.79, 2 In 2.81

Output
The energy above the most stable polymorph in this dataset comes out at 635 meV per atom.

Record 9
VASP calculation (PBE) on a geometry-optimized InCo2Re structure.

Cell lengths 2.7438, 3.6133, 5.7749 Å; angles 90.00, 90.00, 90.00 degrees
Closest atoms and distances in Å follow each position.
Sites, in units of the cell vectors:
Co 0.5000 0.5000 0.2211  1 Re 2.39, 4 Co 2.62
In 0.0000 0.0000 0.4774  6 Co 2.71-2.99, 2 In 2.74, 4 Re 2.96
Re 0.5000 0.5000 0.8067  5 Co 2.39-2.51
Co 0.0000 0.0000 0.9948  4 Re 2.51, 6 Co 2.62-2.74, 1 In 2.79

Output
The calculation puts the total energy at -7.021 eV per atom.

Record 10
VASP calculation (PBE) on a geometry-optimized In2CoRe structure.

Cell lengths 4.7182, 4.7182, 5.2990 Å; angles 79.28, 79.28, 35.87 degrees
Closest atoms and distances in Å follow each position.
Sites, in units of the cell vectors:
Re 0.7500 0.7500 0.7500  6 In 2.80-2.84, 2 Re 2.91, 4 Co 3.02
Co 0.2500 0.2500 0.2500  6 In 2.72-2.84, 2 Co 2.91, 4 Re 3.02
In 0.5067 0.5067 0.4899  3 Co 2.72-2.84, 3 Re 2.80-2.84, 4 In 2.91-2.95
In 0.9933 0.9933 0.0101  3 Co 2.72-2.84, 3 Re 2.80-2.84, 4 In 2.91-2.95

Output
The energy above the most stable polymorph in this dataset comes out at 287 meV per atom.

Record 11
VASP calculation (PBE) on a geometry-optimized InCo4Re structure.

Cell lengths 4.7880, 4.7880, 4.7880 Å; angles 60.00, 60.00, 60.00 degrees
Closest atoms and distances in Å follow each position.
Sites, in units of the cell vectors:
In 0.7500 0.7500 0.7500  12 Co 2.81, 4 Re 2.93
Co 0.3746 0.3746 0.8763  6 Co 2.39-2.40
Co 0.3746 0.8763 0.3746  6 Co 2.39-2.40
Co 0.3746 0.3746 0.3746  6 Co 2.39-2.40
Re 0.0000 0.0000 0.0000  12 Co 2.81, 4 In 2.93
Co 0.8763 0.3746 0.3746  6 Co 2.39-2.40

Output
The calculation puts the total energy at -7.018 eV per atom.

Record 12
VASP calculation (PBE) on a geometry-optimized InCo2Re structure.

Cell lengths 4.6891, 4.6891, 4.6000 Å; angles 78.35, 78.35, 34.29 degrees
Closest atoms and distances in Å follow each position.
Sites, in units of the cell vectors:
In 0.4945 0.4945 0.5355  7 Co 2.57-2.69, 2 In 2.76, 1 Re 2.86
Re 0.2640 0.2640 0.1912  5 Co 2.52-2.60, 2 Re 2.76
Co 0.0026 0.0026 0.0301  3 Re 2.52-2.60, 4 Co 2.64-2.76, 4 In 2.68-2.69
Co 0.7389 0.7389 0.7431  2 Re 2.53, 3 In 2.57-2.67, 4 Co 2.64-2.76

Output
The calculation puts the total energy at -7.059 eV per atom.

Record 13
VASP calculation (PBE) on a geometry-optimized In2CoRe structure.

Cell lengths 4.8722, 4.8722, 2.9236 Å; angles 90.00, 90.00, 103.48 degrees
Closest atoms and distances in Å follow each position.
Sites, in units of the cell vectors:
In 0.5000 0.5000 0.0000  4 Co 2.84, 4 Re 2.84, 4 In 2.92-3.02
In 0.0000 0.0000 0.0000  4 Re 2.84, 4 Co 2.84, 4 In 2.92-3.02
Co 0.0000 0.5000 0.5000  8 In 2.84, 2 Co 2.92, 2 Re 3.02
Re 0.5000 0.0000 0.5000  8 In 2.84, 2 Re 2.92, 2 Co 3.02

Output
The energy above the most stable polymorph in this dataset comes out at 246 meV per atom.

Record 14
VASP calculation (PBE) on a geometry-optimized InCo2Re structure.

Cell lengths 8.7424, 8.7424, 8.7424 Å; angles 18.47, 18.47, 18.47 degrees
Closest atoms and distances in Å follow each position.
Sites, in units of the cell vectors:
Re 0.7411 0.7411 0.7411  3 Co 2.57, 6 Re 2.81
Co 0.2581 0.2581 0.2581  3 Co 2.46
Co 0.9968 0.9968 0.9968  3 Co 2.46, 3 Re 2.57
In 0.5040 0.5040 0.5040  3 Co 2.78, 6 In 2.81, 3 Re 2.96

Output
The calculation puts the total energy at -6.891 eV per atom.

Record 15
VASP calculation (PBE) on a geometry-optimized In2CoRe structure.

Cell lengths 4.2251, 3.2708, 5.4353 Å; angles 72.46, 90.00, 90.00 degrees
Closest atoms and distances in Å follow each position.
Sites, in units of the cell vectors:
Re 0.0000 0.6821 0.5103  2 Co 2.41
Co 0.5000 0.5697 0.7360  2 Re 2.41
In 0.0000 0.9595 0.9554  3 Re 2.83-2.88, 4 Co 2.90
In 0.5000 0.2887 0.2983  3 Co 2.80-2.91, 4 Re 2.89

Output
The energy above the most stable polymorph in this dataset comes out at 158 meV per atom.

Record 16
VASP calculation (PBE) on a geometry-optimized In2CoRe structure.

Cell lengths 5.4229, 5.4229, 4.8897 Å; angles 68.63, 68.63, 30.68 degrees
Closest atoms and distances in Å follow each position.
Sites, in units of the cell vectors:
In 0.9758 0.9758 0.0737  4 Re 2.84-2.93, 3 Co 2.86-2.87, 3 In 2.87-2.98
Re 0.5321 0.5321 0.5390  2 Co 2.52
Co 0.2235 0.2235 0.1967  2 Re 2.52, 2 In 2.74
In 0.7685 0.7685 0.6906  4 Co 2.74-2.99, 3 Re 2.84-2.94, 3 In 2.87-2.98

Output
The energy above the most stable polymorph in this dataset comes out at 84 meV per atom.

Record 17
VASP calculation (PBE) on a geometry-optimized In2CoRe structure.

Cell lengths 4.3548, 2.8668, 5.5016 Å; angles 82.62, 90.00, 90.00 degrees
Closest atoms and distances in Å follow each position.
Sites, in units of the cell vectors:
In 0.0000 0.5770 0.5066  2 Co 2.64, 2 Re 2.82, 3 In 2.87
In 0.0000 0.9230 0.9934  2 Co 2.64, 2 Re 2.82, 3 In 2.87
Co 0.5000 0.7500 0.7500  4 In 2.64, 2 Co 2.87, 2 Re 2.93
Re 0.5000 0.2500 0.2500  8 In 2.82-3.12, 2 Re 2.87, 2 Co 2.93

Output
The energy above the most stable polymorph in this dataset comes out at 320 meV per atom.

Record 18
VASP calculation (PBE) on a geometry-optimized InCo2Re structure.

Cell lengths 4.8110, 4.8110, 4.8110 Å; angles 134.45, 134.45, 66.38 degrees
Closest atoms and distances in Å follow each position.
Sites, in units of the cell vectors:
In 0.5000 0.5000 0.0000  8 Co 2.63-2.74, 4 Re 2.74
Co 0.0000 0.0000 0.0000  4 In 2.63, 4 Co 2.74, 4 Re 2.74
Co 0.2500 0.7500 0.5000  4 Re 2.63, 4 In 2.74, 4 Co 2.74
Re 0.7500 0.2500 0.5000  8 Co 2.63-2.74, 4 In 2.74

Output
The calculation puts the total energy at -6.919 eV per atom.

Record 19
VASP calculation (PBE) on a geometry-optimized InCo2Re structure.

Cell lengths 5.2783, 5.2783, 5.2783 Å; angles 149.43, 130.72, 59.11 degrees
Closest atoms and distances in Å follow each position.
Sites, in units of the cell vectors:
Co 0.7714 0.2714 0.5000  4 Co 2.51-2.78, 4 Re 2.64
Co 0.9988 0.9988 0.0000  2 Re 2.50, 4 Co 2.51-2.78, 4 In 2.60
Re 0.2245 0.7245 0.5000  6 Co 2.50-2.64, 2 Re 2.78
In 0.5053 0.5053 0.0000  6 Co 2.60-2.81, 2 In 2.78

Output
The calculation puts the total energy at -6.995 eV per atom.

Record 20
VASP calculation (PBE) on a geometry-optimized InCo2Re structure.

Cell lengths 2.7730, 3.5293, 5.7273 Å; angles 90.00, 90.00, 90.00 degrees
Closest atoms and distances in Å follow each position.
Sites, in units of the cell vectors:
Co 0.0000 0.0000 0.5354  1 Co 2.46, 4 Re 2.56
In 0.5000 0.5000 0.2500  2 In 2.77, 8 Co 2.78, 2 Re 2.86
Co 0.0000 0.0000 0.9646  1 Co 2.46, 4 Re 2.56
Re 0.5000 0.5000 0.7500  8 Co 2.56, 2 Re 2.77, 2 In 2.86

Output
The calculation puts the total energy at -7.158 eV per atom.

Number 1: volume 56.74 Å³ per cell. Number 2: volume 68.38 Å³ per cell. Number 3: volume 55.41 Å³ per cell. Number 4: volume 65.78 Å³ per cell. Number 5: volume 122.98 Å³ per cell. Number 6: volume 56.47 Å³ per cell. Number 7: volume 56.50 Å³ per cell. Number 8: volume 146.45 Å³ per cell. Number 9: volume 57.25 Å³ per cell. Number 10: volume 67.79 Å³ per cell. Number 11: volume 77.62 Å³ per cell. Number 12: volume 55.70 Å³ per cell. Number 13: volume 67.49 Å³ per cell. Number 14: volume 58.61 Å³ per cell. Number 15: volume 71.62 Å³ per cell. Number 16: volume 67.93 Å³ per cell. Number 17: volume 68.11 Å³ per cell. Number 18: volume 55.85 Å³ per cell. Number 19: volume 56.24 Å³ per cell. Number 20: volume 56.05 Å³ per cell.